## BaZr2Sb (PBE-GGA)

Data for a relaxed BaZr2Sb crystal.

Computed properties:
- space group = No. 8
- E_tot (eV per cell) = -23.3
- crystal system = monoclinic

abc: 5.1671 5.1671 7.2335
angles: 82.29 82.29 41.86
Last column: nearest neighbours and their distance in Å.
Atoms (fractional coordinates):
Ba 0.5187 0.5187 0.4871  3 Sb 3.54-3.57, 3 Zr 3.63-3.95, 2 Ba 3.69
Sb 0.2634 0.2634 0.1755  5 Zr 2.97-3.21
Zr 0.9882 0.9882 0.9739  3 Zr 2.73-2.99
Zr 0.7297 0.7297 0.8635  3 Zr 2.73-2.99, 2 Sb 2.97